Record 1
Density functional theory data (PBE) for a geometry-optimized PmPOs structure.

Lattice parameters (Å, degrees): 3.101 3.101 6.039 104.88 104.88 90.00
Positions (direct):
1 Os 0.298 0.298 0.597
2 P 0.701 0.701 0.401
3 Pm 0.001 0.001 0.002

Results
Its space group is I4mm. The value obtained for the formation energy from the elements is -1.2 eV/f.u. The calculation puts the size of the total moment at 0.000 μB/f.u. Its density of states at the Fermi level is 1.8 states/eV per cell. As for the uncorrected energy: -7.52 eV per atom.

***

Record 2
Density functional theory data (PBE) for a geometry-optimized PmP2Os2 structure.

Lattice parameters (Å, degrees): 4.096 4.096 4.879 90.00 90.00 90.00
Positions (direct):
1 Os 0.000 0.500 0.500
2 Os 0.500 0.000 0.500
3 Pm 0.000 0.000 0.000
4 P 0.500 0.500 0.766
5 P 0.500 0.500 0.234

Results
Its space group is P4/mmm. The value obtained for the formation energy from the elements is -2.9 eV/f.u. The calculation puts the size of the total moment at 0.000 μB/f.u. Its density of states at the Fermi level is 2.5 states/eV per cell. As for the uncorrected energy: -8.18 eV per atom.

***

Record 3
Density functional theory data (PBE) for a geometry-optimized PmP3Os3 structure.

Lattice parameters (Å, degrees): 6.446 6.446 6.446 90.00 90.00 90.00
Positions (direct):
1 Os 0.500 0.750 0.000
2 Os 0.250 0.000 0.500
3 Os 0.000 0.500 0.250
4 Os 0.000 0.500 0.750
5 Os 0.500 0.250 0.000
6 Os 0.750 0.000 0.500
7 P 0.250 0.500 0.000
8 P 0.750 0.500 0.000
9 P 0.000 0.250 0.500
10 P 0.500 0.000 0.750
11 P 0.500 0.000 0.250
12 P 0.000 0.750 0.500
13 Pm 0.500 0.500 0.500
14 Pm 0.000 0.000 0.000

Results
Its space group is Pm-3n. The value obtained for the formation energy from the elements is -1.2 eV/f.u. The calculation puts the size of the total moment at 0.000 μB/f.u. Its density of states at the Fermi level is 17.9 states/eV per cell. As for the uncorrected energy: -7.99 eV per atom.

***

Record 4
Density functional theory data (PBE) for a geometry-optimized PmPOs structure.

Lattice parameters (Å, degrees): 4.348 4.020 4.020 120.00 90.00 90.00
Positions (direct):
1 Pm 0.667 0.667 0.333
2 P 0.166 0.000 0.000
3 Os 0.167 0.333 0.667

Results
Its space group is P-6m2. The value obtained for the formation energy from the elements is -2.0 eV/f.u. The calculation puts the size of the total moment at 0.000 μB/f.u. Its density of states at the Fermi level is 2.9 states/eV per cell. As for the uncorrected energy: -7.81 eV per atom.

***

Record 5
Density functional theory data (PBE) for a geometry-optimized PmTcP2Os structure.

Lattice parameters (Å, degrees): 4.147 4.147 5.695 111.35 111.35 90.00
Positions (direct):
1 Os 0.250 0.750 0.500
2 P 0.634 0.634 0.267
3 P 0.366 0.366 0.733
4 Tc 0.750 0.250 0.500
5 Pm 0.000 0.000 0.000

Results
Its space group is I-4m2. The value obtained for the formation energy from the elements is -4.2 eV/f.u. The calculation puts the size of the total moment at 0.000 μB/f.u. Its density of states at the Fermi level is 2.1 states/eV per cell. As for the uncorrected energy: -8.28 eV per atom.

***

Record 6
Density functional theory data (PBE) for a geometry-optimized PrP12Os4 structure.

Lattice parameters (Å, degrees): 7.039 7.039 7.039 109.47 109.47 109.47
Positions (direct):
1 P 0.857 0.643 0.499
2 P 0.357 0.501 0.143
3 P 0.499 0.857 0.643
4 P 0.643 0.786 0.143
5 P 0.643 0.499 0.857
6 P 0.786 0.143 0.643
7 P 0.857 0.357 0.214
8 P 0.501 0.143 0.357
9 P 0.214 0.857 0.357
10 P 0.357 0.214 0.857
11 P 0.143 0.357 0.501
12 P 0.143 0.643 0.786
13 Os 0.000 0.000 0.500
14 Os 0.500 0.000 0.000
15 Os 0.000 0.500 0.000
16 Os 0.500 0.500 0.500
17 Pr 0.000 0.000 0.000

Results
Its space group is Im-3. The value obtained for the formation energy from the elements is -10.1 eV/f.u. The calculation puts the size of the total moment at 0.000 μB/f.u. Its density of states at the Fermi level is 5.2 states/eV per cell. As for the uncorrected energy: -7.33 eV per atom.

***

Record 7
Density functional theory data (PBE) for a geometry-optimized PrP3Os3 structure.

Lattice parameters (Å, degrees): 6.457 6.457 6.457 90.00 90.00 90.00
Positions (direct):
1 P 0.500 0.000 0.250
2 P 0.250 0.500 0.000
3 P 0.500 0.000 0.750
4 P 0.000 0.250 0.500
5 P 0.000 0.750 0.500
6 P 0.750 0.500 0.000
7 Os 0.250 0.000 0.500
8 Os 0.500 0.750 0.000
9 Os 0.750 0.000 0.500
10 Os 0.000 0.500 0.750
11 Os 0.000 0.500 0.250
12 Os 0.500 0.250 0.000
13 Pr 0.500 0.500 0.500
14 Pr 0.000 0.000 0.000

Results
Its space group is Pm-3n. The value obtained for the formation energy from the elements is -1.5 eV/f.u. The calculation puts the size of the total moment at 0.000 μB/f.u. Its density of states at the Fermi level is 17.8 states/eV per cell. As for the uncorrected energy: -8.02 eV per atom.

***

Record 8
Density functional theory data (PBE) for a geometry-optimized PrP2Os2 structure.

Lattice parameters (Å, degrees): 4.080 4.080 6.033 109.77 109.77 90.00
Positions (direct):
1 Pr 0.000 0.000 0.000
2 P 0.360 0.360 0.720
3 P 0.640 0.640 0.280
4 Os 0.250 0.750 0.500
5 Os 0.750 0.250 0.500

Results
Its space group is I4/mmm. The value obtained for the formation energy from the elements is -3.6 eV/f.u. The calculation puts the size of the total moment at 0.000 μB/f.u. Its density of states at the Fermi level is 2.3 states/eV per cell. As for the uncorrected energy: -8.33 eV per atom.